The following is a DFT calculation (PBE-GGA) of crystalline NdZr2Pa at its relaxed geometry.

- E_tot: -7.6923 eV per atom
- Crystal system: tetragonal
- Space-group type: No. 123
- DFT formation energy: 147.8 meV/atom

Geometry as POSCAR:
```
NdZr2Pa
1.0
-0.438 2.310 -3.073
-3.581 -1.369 -0.518
-2.601 5.188 4.271
Pa Nd Zr
1 1 2
direct
0.500 0.500 0.000
0.500 0.500 0.500
0.000 0.000 0.795
0.000 0.000 0.205
```

***

The following is a DFT calculation (PBE-GGA) of crystalline NdZr2Pa at its relaxed geometry.

- E_tot: -7.5428 eV per atom
- Crystal system: trigonal
- Space-group type: No. 166
- DFT formation energy: 297.2 meV/atom

Geometry as POSCAR:
```
NdZr2Pa
1.0
3.270 0.000 0.000
1.635 2.832 0.000
1.635 0.944 11.643
Pa Nd Zr
1 1 2
direct
0.500 0.500 0.500
0.000 0.000 0.000
0.091 0.091 0.726
0.909 0.909 0.274
```

***

The following is a DFT calculation (PBE-GGA) of crystalline Nd7Pb at its relaxed geometry.

- E_tot: -4.7428 eV per atom
- Crystal system: cubic
- Space-group type: No. 225
- DFT formation energy: -107.4 meV/atom

Geometry as POSCAR:
```
Nd7Pb
1.0
-0.509 6.526 -3.068
-5.038 4.670 2.253
1.937 5.898 3.706
Nd Pb
7 1
direct
0.500 0.500 0.000
0.500 0.000 0.500
0.000 0.500 0.500
0.500 0.000 0.000
0.000 0.500 0.000
0.000 0.000 0.500
0.500 0.500 0.500
0.000 0.000 0.000
```